Entry 1:
La2Cu3As4Pd: optimized geometry, PBE.

Cell: 4.3468 4.3468 10.0470 Å, 90.00 90.00 90.00°
Sites, in units of the cell vectors:
Pd: 0.5000 0.5000 0.5000
As: 0.5000 0.0000 0.6383
As: 0.0000 0.5000 0.3617
As: 0.5000 0.5000 0.0000
As: 0.0000 0.0000 0.0000
Cu: 0.0000 0.5000 0.1228
Cu: 0.0000 0.0000 0.5000
Cu: 0.5000 0.0000 0.8772
La: 0.0000 0.5000 0.7459
La: 0.5000 0.0000 0.2541

Output
- raw total energy (eV/atom) = -5.338
- crystal system = tetragonal
- Fermi-level density of states (states/eV per cell) = 2.02

---

Entry 2:
Tb14ErPu: optimized geometry, PBE.

Cell: 7.1019 7.1019 9.9943 Å, 90.00 90.00 90.00°
Last column: magnetic moment on the atom in μB.
Sites, in units of the cell vectors:
Tb: 0.1235 0.8765 0.7526  0.02
Tb: 0.6265 0.3735 0.2475  0.02
Tb: 0.8750 0.6250 0.5000  -0.03
Tb: 0.1235 0.8765 0.2474  0.02
Tb: 0.8750 0.6250 0.0000  0.06
Tb: 0.3750 0.6250 0.5000  -0.10
Tb: 0.8750 0.1250 0.5000  -0.04
Tb: 0.3750 0.1250 0.0000  0.06
Tb: 0.1235 0.3735 0.2474  0.02
Tb: 0.6265 0.8765 0.2474  0.02
Tb: 0.6265 0.8765 0.7526  0.02
Tb: 0.1235 0.3735 0.7526  0.02
Tb: 0.3750 0.1250 0.5000  -0.03
Tb: 0.6265 0.3735 0.7525  0.02
Er: 0.3750 0.6250 0.0000  -0.04
Pu: 0.8750 0.1250 0.0000  5.55

Output
- raw total energy (eV/atom) = -5.197
- crystal system = tetragonal
- Fermi-level density of states (states/eV per cell) = 26.95

---

Entry 3:
CeErCoBr: optimized geometry, PBE.

Cell: 3.8703 3.8702 7.9802 Å, 90.01 104.03 120.00°
Last column: magnetic moment on the atom in μB.
Sites, in units of the cell vectors:
Co: 0.3093 0.5525 0.8771  -0.08
Ce: 0.0896 0.9428 0.0476  0.45
Br: 0.9717 0.3840 0.3708  0.00
Er: 0.5073 0.1515 0.6741  0.03

Output
- raw total energy (eV/atom) = -5.550
- crystal system = trigonal
- raw formation energy (eV/atom) = -0.731
- Fermi-level density of states (states/eV per cell) = 5.33

---

Q: What is the raw total energy in the second record?
A: -5.197 eV/atom